Record 1
A relaxed SrZrIn2Sn crystal. Source: Alexandria, functional PBE.

Computed properties:
Crystal system = tetragonal
Total DFT energy (no corrections) = -3.177 eV per atom
Density = 4.724 g cm⁻³

Cell lengths 5.5640, 5.5640, 5.9853 Å; angles 90.00, 90.00, 90.00 degrees
With the nearest neighbours (Å) after each atom.
Atoms (fractional coordinates):
1 Sr 0.0000 0.0000 0.0000  2 Sn 2.99
2 Zr 0.5000 0.5000 0.0000  4 Sr 3.93, 8 In 4.09
3 In 0.0000 0.5000 0.5000  2 Sn 2.78
4 In 0.5000 0.0000 0.5000  2 Sn 2.78
5 Sn 0.0000 0.0000 0.5000  4 In 2.78, 2 Sr 2.99

Record 2
A relaxed TaInSn3 crystal. Source: Alexandria, functional PBE.

Computed properties:
Crystal system = cubic
Total DFT energy (no corrections) = -4.999 eV per atom
Density = 6.813 g cm⁻³

Cell lengths 5.4161, 5.4161, 5.4161 Å; angles 90.00, 90.00, 90.00 degrees
With the nearest neighbours (Å) after each atom.
Atoms (fractional coordinates):
1 Ta 0.0000 0.0000 0.0000  6 Sn 2.71
2 In 0.5000 0.5000 0.5000  12 Sn 3.83
3 Sn 0.0000 0.0000 0.5000  2 Ta 2.71
4 Sn 0.0000 0.5000 0.0000  2 Ta 2.71
5 Sn 0.5000 0.0000 0.0000  2 Ta 2.71

Record 3
A relaxed TaIn3Sn crystal. Source: Alexandria, functional PBE.

Computed properties:
Crystal system = cubic
Total DFT energy (no corrections) = -3.370 eV per atom
Density = 6.454 g cm⁻³

Cell lengths 5.4927, 5.4927, 5.4927 Å; angles 90.00, 90.00, 90.00 degrees
With the nearest neighbours (Å) after each atom.
Atoms (fractional coordinates):
1 Ta 0.0000 0.0000 0.0000  12 In 3.88
2 In 0.0000 0.5000 0.5000  2 Sn 2.75
3 In 0.5000 0.0000 0.5000  2 Sn 2.75
4 In 0.5000 0.5000 0.0000  2 Sn 2.75
5 Sn 0.5000 0.5000 0.5000  6 In 2.75

Record 4
A relaxed TaInSn3 crystal. Source: Alexandria, functional PBE.

Computed properties:
Crystal system = cubic
Total DFT energy (no corrections) = -3.777 eV per atom
Density = 6.845 g cm⁻³

Cell lengths 5.4078, 5.4078, 5.4078 Å; angles 90.00, 90.00, 90.00 degrees
With the nearest neighbours (Å) after each atom.
Atoms (fractional coordinates):
1 Ta 0.0000 0.0000 0.0000  12 Sn 3.82
2 In 0.5000 0.5000 0.5000  6 Sn 2.70
3 Sn 0.0000 0.5000 0.5000  2 In 2.70
4 Sn 0.5000 0.0000 0.5000  2 In 2.70
5 Sn 0.5000 0.5000 0.0000  2 In 2.70

Record 5
A relaxed TaInSn2 crystal. Source: Alexandria, functional PBE.

Computed properties:
Crystal system = tetragonal
Total DFT energy (no corrections) = -4.813 eV per atom
Density = 6.386 g cm⁻³

Cell lengths 8.0416, 8.0416, 8.0416 Å; angles 132.51, 132.51, 69.43 degrees
With the nearest neighbours (Å) after each atom.
Atoms (fractional coordinates):
1 Ta 0.0000 0.0000 0.0000  4 Sn 2.73
2 Ta 0.7500 0.2500 0.5000  4 Sn 2.73
3 In 0.2500 0.7500 0.5000  4 Sn 2.92
4 In 0.5000 0.5000 0.0000  4 Sn 2.92
5 Sn 0.0996 0.6250 0.9746  2 Ta 2.73, 2 In 2.92
6 Sn 0.3750 0.3496 0.4746  2 Ta 2.73, 2 In 2.92
7 Sn 0.6504 0.1250 0.0254  2 Ta 2.73, 2 In 2.92
8 Sn 0.8750 0.9004 0.5254  2 Ta 2.73, 2 In 2.92

Record 6
A relaxed TaInSn2 crystal. Source: Alexandria, functional PBE.

Computed properties:
Crystal system = trigonal
Total DFT energy (no corrections) = -5.534 eV per atom
Density = 9.344 g cm⁻³

Cell lengths 11.0594, 11.0594, 11.0594 Å; angles 16.47, 16.47, 16.47 degrees
With the nearest neighbours (Å) after each atom.
Atoms (fractional coordinates):
1 Ta 0.0000 0.0000 0.0000  6 Sn 3.00, 6 Ta 3.17
2 In 0.5000 0.5000 0.5000  2 Sn 3.08, 6 In 3.17
3 Sn 0.4060 0.4060 0.4060  3 Ta 3.00, 1 In 3.08, 6 Sn 3.17
4 Sn 0.5940 0.5940 0.5940  3 Ta 3.00, 1 In 3.08, 6 Sn 3.17

Record 7
A relaxed Ta3InSn crystal. Source: Alexandria, functional PBE.

Computed properties:
Crystal system = cubic
Total DFT energy (no corrections) = -6.649 eV per atom
Density = 10.146 g cm⁻³

Cell lengths 5.0274, 5.0274, 5.0274 Å; angles 90.00, 90.00, 90.00 degrees
With the nearest neighbours (Å) after each atom.
Atoms (fractional coordinates):
1 Ta 0.0000 0.0000 0.5000  2 Sn 2.51
2 Ta 0.0000 0.5000 0.0000  2 Sn 2.51
3 Ta 0.5000 0.0000 0.0000  2 Sn 2.51
4 In 0.5000 0.5000 0.5000  12 Ta 3.55
5 Sn 0.0000 0.0000 0.0000  6 Ta 2.51

Record 8
A relaxed TaIn3Sn crystal. Source: Alexandria, functional PBE.

Computed properties:
Crystal system = cubic
Total DFT energy (no corrections) = -4.135 eV per atom
Density = 6.775 g cm⁻³

Cell lengths 5.4045, 5.4045, 5.4045 Å; angles 90.00, 90.00, 90.00 degrees
With the nearest neighbours (Å) after each atom.
Atoms (fractional coordinates):
1 Ta 0.0000 0.0000 0.0000  6 In 2.70
2 In 0.0000 0.0000 0.5000  2 Ta 2.70
3 In 0.0000 0.5000 0.0000  2 Ta 2.70
4 In 0.5000 0.0000 0.0000  2 Ta 2.70
5 Sn 0.5000 0.5000 0.5000  12 In 3.82

Record 9
A relaxed Ta2InSn crystal. Source: Alexandria, functional PBE.

Computed properties:
Crystal system = tetragonal
Total DFT energy (no corrections) = -6.929 eV per atom
Density = 11.391 g cm⁻³

Cell lengths 6.1775, 6.1775, 6.1775 Å; angles 103.11, 103.11, 123.13 degrees
With the nearest neighbours (Å) after each atom.
Atoms (fractional coordinates):
1 Ta 0.1203 0.6250 0.9953  2 Sn 2.79, 2 In 2.84, 2 Ta 2.94
2 Ta 0.3750 0.3703 0.4953  2 Sn 2.79, 2 In 2.84, 2 Ta 2.94
3 Ta 0.6297 0.1250 0.0047  2 Sn 2.79, 2 In 2.84, 2 Ta 2.94
4 Ta 0.8750 0.8797 0.5047  2 Sn 2.79, 2 In 2.84, 2 Ta 2.94
5 In 0.2500 0.7500 0.5000  4 Ta 2.84, 2 Sn 2.94
6 In 0.5000 0.5000 0.0000  4 Ta 2.84, 2 Sn 2.94
7 Sn 0.0000 0.0000 0.0000  4 Ta 2.79, 2 In 2.94
8 Sn 0.7500 0.2500 0.5000  4 Ta 2.79, 2 In 2.94

Record 10
A relaxed YTaInSn2 crystal. Source: Alexandria, functional PBE.

Computed properties:
Crystal system = tetragonal
Total DFT energy (no corrections) = -5.500 eV per atom
Density = 6.859 g cm⁻³

Cell lengths 5.3171, 5.3171, 5.3273 Å; angles 90.00, 90.00, 90.00 degrees
With the nearest neighbours (Å) after each atom.
Atoms (fractional coordinates):
1 Y 0.0000 0.0000 0.0000  4 In 3.76, 8 Sn 3.76
2 Ta 0.5000 0.5000 0.5000  4 Sn 2.66, 2 In 2.66
3 In 0.5000 0.5000 0.0000  2 Ta 2.66
4 Sn 0.0000 0.5000 0.5000  2 Ta 2.66
5 Sn 0.5000 0.0000 0.5000  2 Ta 2.66

Record 11
A relaxed Tb8InSn2 crystal. Source: Alexandria, functional PBE.

Computed properties:
Crystal system = monoclinic
Total DFT energy (no corrections) = -4.674 eV per atom
Density = 8.140 g cm⁻³

Cell lengths 10.0669, 10.0669, 6.8408 Å; angles 103.51, 103.51, 29.50 degrees
With the nearest neighbours (Å) after each atom.
Atoms (fractional coordinates):
1 Tb 0.0205 0.0205 0.2656  2 In 3.10, 1 Sn 3.14
2 Tb 0.2141 0.2141 0.8229  3 Sn 3.19-3.40, 2 Tb 3.39
3 Tb 0.3416 0.3416 0.5012  1 In 3.09, 3 Sn 3.14-3.17, 2 Tb 3.39
4 Tb 0.4077 0.4077 0.0224  1 In 3.33, 2 Sn 3.41, 7 Tb 3.49-3.71
5 Tb 0.5923 0.5923 0.9776  1 In 3.33, 2 Sn 3.41, 7 Tb 3.49-3.71
6 Tb 0.6584 0.6584 0.4988  1 In 3.09, 3 Sn 3.14-3.17, 2 Tb 3.39
7 Tb 0.7859 0.7859 0.1771  3 Sn 3.19-3.40, 2 Tb 3.39
8 Tb 0.9795 0.9795 0.7344  2 In 3.10, 1 Sn 3.14
9 In 0.5000 0.5000 0.5000  8 Tb 3.09-3.33
10 Sn 0.1810 0.1810 0.2572  9 Tb 3.14-3.41
11 Sn 0.8190 0.8190 0.7428  9 Tb 3.14-3.41

Record 12
A relaxed Tb3InSn crystal. Source: Alexandria, functional PBE.

Computed properties:
Crystal system = monoclinic
Total DFT energy (no corrections) = -4.371 eV per atom
Density = 7.491 g cm⁻³

Cell lengths 10.1431, 10.1431, 8.9670 Å; angles 105.28, 105.28, 20.75 degrees
With the nearest neighbours (Å) after each atom.
Atoms (fractional coordinates):
1 Tb 0.0570 0.0570 0.2214  2 Sn 3.22, 2 In 3.24-3.38
2 Tb 0.1689 0.1689 0.9262  1 In 3.08, 3 Sn 3.16-3.42
3 Tb 0.3109 0.3109 0.4238  2 In 3.13, 3 Sn 3.17-3.18
4 Tb 0.6891 0.6891 0.5762  2 In 3.13, 3 Sn 3.17-3.18
5 Tb 0.8311 0.8311 0.0738  1 In 3.08, 3 Sn 3.16-3.42
6 Tb 0.9430 0.9430 0.7786  2 Sn 3.22, 2 In 3.24-3.38
7 In 0.0652 0.0652 0.6023  1 In 2.75, 1 Tb 3.08
8 In 0.9348 0.9348 0.3977  1 In 2.75, 1 Tb 3.08
9 Sn 0.3098 0.3098 0.7778  8 Tb 3.16-3.42
10 Sn 0.6902 0.6902 0.2222  8 Tb 3.16-3.42

Please write out number 3 again, unchanged.
A relaxed TaIn3Sn crystal. Source: Alexandria, functional PBE.

Computed properties:
Crystal system = cubic
Total DFT energy (no corrections) = -3.370 eV per atom
Density = 6.454 g cm⁻³

Cell lengths 5.4927, 5.4927, 5.4927 Å; angles 90.00, 90.00, 90.00 degrees
With the nearest neighbours (Å) after each atom.
Atoms (fractional coordinates):
1 Ta 0.0000 0.0000 0.0000  12 In 3.88
2 In 0.0000 0.5000 0.5000  2 Sn 2.75
3 In 0.5000 0.0000 0.5000  2 Sn 2.75
4 In 0.5000 0.5000 0.0000  2 Sn 2.75
5 Sn 0.5000 0.5000 0.5000  6 In 2.75